#P
5
Lattice="4.135 0.000 0.000 0.000 4.135 0.000 0.000 0.000 4.135" Properties=species:S:1:pos:R:3 comment="Ru3RhF (PBE-GGA, relaxed)" total_magnetization_mub_per_fu=0.00 pbc="T T T"
Rh 2.067 2.067 2.067
Ru 2.067 0.000 0.000
Ru 0.000 2.067 0.000
Ru 0.000 0.000 2.067
F 0.000 0.000 0.000

---

#Q
5
Lattice="4.756 0.000 0.000 0.000 4.756 0.000 0.000 0.000 4.756" Properties=species:S:1:pos:R:3 comment="Ru3RhF (PBE-GGA, relaxed)" total_magnetization_mub_per_fu=6.39 pbc="T T T"
Ru 2.378 0.000 0.000
Ru 0.000 2.378 0.000
Ru 0.000 0.000 2.378
F 2.378 2.378 2.378
Rh 0.000 0.000 0.000

---

Most stable structure, least stable structure: #P, #Q.

---

#P
4
Lattice="-4.073 4.048 3.362 -4.837 0.722 4.512 -1.991 2.479 5.846" Properties=species:S:1:pos:R:3 comment="RhS2F (PBE-GGA, relaxed)" total_magnetization_mub_per_fu=0.00 pbc="T T T"
S -9.727 6.468 12.241
S -1.175 0.782 1.479
F 0.000 0.000 0.000
Rh -5.451 3.625 6.860

---

#Q
8
Lattice="5.838 0.000 0.000 0.000 5.838 0.000 2.919 2.919 4.563" Properties=species:S:1:pos:R:3 comment="RhS2F (PBE-GGA, relaxed)" total_magnetization_mub_per_fu=0.00 pbc="T T T"
F 2.919 5.838 2.282
F 2.919 2.919 0.000
S 4.378 4.119 3.423
S 7.297 7.556 3.423
S 4.637 1.459 1.141
S 1.201 4.378 1.141
Rh 5.838 2.919 2.282
Rh 0.000 0.000 0.000

---

Most stable structure, least stable structure: #P, #Q.